# SrP2ClO

Crystalline SrP2ClO at its relaxed geometry (PBE, Alexandria via LeMat-Bulk).

Summary:
N(E_F) = 8.0 states/eV/f.u.
Final energy = -3.13 eV/atom
Excess energy over the best structure of this formula in the dataset = 651 kJ/mol of formula units
Formation energy from raw total energies = 70.3 kJ/mol of atoms
Symmetry = No. 123

Cell: 6.324 6.324 4.405 Å, 90.00 90.00 90.00°
Sites, in units of the cell vectors:
O1 0.000 0.000 0.500
Cl1 0.500 0.500 0.500
P1 0.000 0.500 0.000
P2 0.500 0.000 0.000
Sr1 0.000 0.000 0.000